Ac4Co3AuO12: optimized geometry, PBE+U.

Unit cell a=6.9575 b=6.9575 c=6.9575 alpha=109.47 beta=109.47 gamma=109.47
With the nearest neighbours (Å) after each atom.
Fractional positions:
Ac 0.0000 0.0000 0.5000  12 O 2.84
Ac 0.0000 0.5000 0.0000  12 O 2.84
Ac 0.5000 0.0000 0.0000  12 O 2.84
Ac 0.5000 0.5000 0.5000  12 O 2.84
Co 0.0000 0.5000 0.5000  6 O 2.01
Co 0.5000 0.0000 0.5000  6 O 2.01
Co 0.5000 0.5000 0.0000  6 O 2.01
Au 0.0000 0.0000 0.0000  6 O 2.01
O 0.0000 0.2503 0.2503  1 Co 2.01, 1 Au 2.01
O 0.0000 0.7497 0.7497  1 Co 2.01, 1 Au 2.01
O 0.2503 0.0000 0.2503  1 Co 2.01, 1 Au 2.01
O 0.2503 0.2503 0.0000  1 Co 2.01, 1 Au 2.01
O 0.2500 0.5000 0.7500  2 Co 2.01
O 0.2500 0.7500 0.5000  2 Co 2.01
O 0.5000 0.2500 0.7500  2 Co 2.01
O 0.5000 0.7500 0.2500  2 Co 2.01
O 0.7497 0.0000 0.7497  1 Co 2.01, 1 Au 2.01
O 0.7500 0.2500 0.5000  2 Co 2.01
O 0.7500 0.5000 0.2500  2 Co 2.01
O 0.7497 0.7497 0.0000  1 Co 2.01, 1 Au 2.01

Calculated values
The calculation puts the total magnetization at 0.393 μB per atom. As for the total energy: -6.73 eV/atom.